Record 1
Material: TiFeBi2
Method: DFT, PBE
State: relaxed

Summary:
N(E_F) in states/eV/f.u.: 7.0
Energy of formation from the pure elements in eV/atom: 0.5453
ΔE to the lowest computed polymorph in eV/atom: 0.179
Theoretical density in g/cm3: 9.2

```
TiFeBi2
1.0
-3.811 3.811 3.232
3.811 -3.811 3.232
3.811 3.811 -3.232
Ti Fe Bi
2 2 4
direct
0.000 0.000 0.000
0.750 0.250 0.500
0.250 0.750 0.500
0.500 0.500 0.000
0.149 0.125 0.524
0.375 0.851 0.976
0.601 0.625 0.476
0.875 0.399 0.024
```

Record 2
Material: Dy4SiSe3
Method: DFT, PBE
State: relaxed

Summary:
N(E_F) in states/eV/f.u.: 3.3
Final energy in eV/atom: -5.87
Theoretical density in g/cm3: 7.9

```
Dy4SiSe3
1.0
5.778 0.000 0.000
0.000 5.778 0.000
0.000 0.000 5.778
Dy Si Se
4 1 3
direct
0.000 0.000 0.000
0.000 0.500 0.500
0.500 0.000 0.500
0.500 0.500 0.000
0.500 0.500 0.500
0.000 0.000 0.500
0.000 0.500 0.000
0.500 0.000 0.000
```

Record 3
Material: TiRe3Te
Method: DFT, PBE
State: relaxed

Summary:
N(E_F) in states/eV/f.u.: 4.4
ΔE to the lowest computed polymorph in eV/atom: 0.337
Theoretical density in g/cm3: 11.3

```
TiRe3Te
1.0
4.762 0.000 0.000
0.000 4.762 0.000
0.000 0.000 4.762
Ti Re Te
1 3 1
direct
0.000 0.000 0.000
0.000 0.500 0.500
0.500 0.000 0.500
0.500 0.500 0.000
0.500 0.500 0.500
```

Record 4
Material: BaZr2Co
Method: DFT, PBE
State: relaxed

Summary:
N(E_F) in states/eV/f.u.: 5.1
Energy of formation from the pure elements in eV/atom: 0.1613
ΔE to the lowest computed polymorph in eV/atom: 0.000
Theoretical density in g/cm3: 5.6

```
BaZr2Co
1.0
2.028 1.171 7.837
-2.028 1.171 7.837
0.000 -2.342 7.837
Ba Zr Co
1 2 1
direct
0.000 0.000 0.000
0.209 0.209 0.209
0.454 0.454 0.454
0.830 0.830 0.830
```

Record 5
Material: BaLa2Co2
Method: DFT, PBE
State: relaxed

Summary:
N(E_F) in states/eV/f.u.: 4.8
Energy of formation from the pure elements in eV/atom: 0.1873
ΔE to the lowest computed polymorph in eV/atom: 0.000
Theoretical density in g/cm3: 6.0

```
BaLa2Co2
1.0
-2.510 2.510 5.872
2.510 -2.510 5.872
2.510 2.510 -5.872
Ba La Co
1 2 2
direct
0.000 0.000 0.000
0.324 0.324 0.000
0.676 0.676 0.000
0.250 0.750 0.500
0.750 0.250 0.500
```

Record 6
Material: HgPdPb3
Method: DFT, PBE
State: relaxed

Summary:
N(E_F) in states/eV/f.u.: 2.5
Energy of formation from the pure elements in eV/atom: -0.0526
ΔE to the lowest computed polymorph in eV/atom: 0.034
Theoretical density in g/cm3: 11.2

```
HgPdPb3
1.0
5.520 -4.530 0.000
5.520 4.530 0.000
-4.088 0.000 5.528
Hg Pd Pb
2 2 6
direct
0.055 0.055 0.255
0.945 0.945 0.745
0.255 0.255 0.122
0.745 0.745 0.878
0.004 0.604 0.275
0.396 0.996 0.725
0.435 0.435 0.674
0.565 0.565 0.326
0.604 0.004 0.275
0.996 0.396 0.725
```

Record 7
Material: TaHgCl2
Method: DFT, PBE
State: relaxed

Summary:
N(E_F) in states/eV/f.u.: 2.6
ΔE to the lowest computed polymorph in eV/atom: 0.324
Theoretical density in g/cm3: 8.0

```
TaHgCl2
1.0
3.074 0.000 0.000
0.000 3.074 0.000
0.000 0.000 9.962
Ta Hg Cl
1 1 2
direct
0.000 0.000 0.000
0.000 0.000 0.500
0.500 0.500 0.153
0.500 0.500 0.847
```

Record 8
Material: BaLi3Zn
Method: DFT, PBE
State: relaxed

Summary:
N(E_F) in states/eV/f.u.: 5.0
Energy of formation from the pure elements in eV/atom: 0.0166
ΔE to the lowest computed polymorph in eV/atom: 0.050
Theoretical density in g/cm3: 2.7

```
BaLi3Zn
1.0
5.188 0.000 0.000
0.000 5.188 0.000
0.000 0.000 5.188
Ba Li Zn
1 3 1
direct
0.000 0.000 0.000
0.000 0.500 0.500
0.500 0.000 0.500
0.500 0.500 0.000
0.500 0.500 0.500
```

Record 9
Material: MgMn2Ir
Method: DFT, PBE
State: relaxed

Summary:
N(E_F) in states/eV/f.u.: 4.5
Energy of formation from the pure elements in eV/atom: 0.1121
Theoretical density in g/cm3: 9.8

```
MgMn2Ir
1.0
4.675 -1.416 0.000
4.675 1.416 0.000
-1.321 0.000 4.179
Mg Mn Ir
1 2 1
direct
0.000 0.000 0.000
0.237 0.237 0.714
0.763 0.763 0.286
0.500 0.500 0.500
```

| no. | spin magnetization (μB per cell) |
| --- | --- |
| 1 | 7.28 |
| 2 | 0.00 |
| 3 | 0.00 |
| 4 | 0.00 |
| 5 | 0.00 |
| 6 | 0.00 |
| 7 | 0.00 |
| 8 | 0.00 |
| 9 | 3.44 |